BaNa2Pt: relaxed, PBE-GGA.

**Energy above the most stable polymorph in this dataset**: 112 meV per atom
**Formation energy from the elements**: -0.7 eV per formula unit
**Uncorrected energy**: -11.310 eV per formula unit
**SG**: I-42d, No. 122

Cell lengths 4.5525, 4.5525, 12.4478 Å; angles 79.46, 79.46, 90.00 degrees
Atoms (fractional coordinates):
1 Na 0.6758 0.1250 0.2500
2 Na 0.3750 0.3242 0.7500
3 Ba 0.5000 0.5000 0.0000
4 Pt 0.7500 0.2500 0.5000
5 Na 0.8750 0.9258 0.7500
6 Pt 0.0000 0.0000 0.0000
7 Na 0.0742 0.6250 0.2500
8 Ba 0.2500 0.7500 0.5000